Entry 1:
Below is a relaxed structure of TlSnAsSe3, with properties calculated at the PBE-GGA level.

E_form (uncorrected)   -0.298 eV/atom
VASP energy   -46.52 eV for the cell shown
SG   No. 11

POSCAR file:
```
TlSnAsSe3
1.0
8.0066 0.0000 0.0000
0.0000 4.0752 0.0000
-0.8225 0.0000 10.0634
Tl Sn As Se
2 2 2 6
Direct
0.0850 0.2500 0.1610
0.9150 0.7500 0.8390
0.2511 0.7500 0.5112
0.7489 0.2500 0.4888
0.4346 0.2500 0.8398
0.5654 0.7500 0.1602
0.1229 0.2500 0.6643
0.3051 0.7500 0.9896
0.4500 0.2500 0.3110
0.5500 0.7500 0.6890
0.6949 0.2500 0.0104
0.8771 0.7500 0.3357
```

Entry 2:
Below is a relaxed structure of NdGa6Rh4, with properties calculated at the PBE-GGA level.

Density of states at the Fermi level   6.656 states/eV/f.u.
Formation energy from the elements   -7.0 eV per formula unit
VASP energy   -59.34 eV for the cell shown
SG   No. 187

POSCAR file:
```
NdGa6Rh4
1.0
7.4179 0.0000 0.0000
-3.7089 6.4241 0.0000
0.0000 0.0000 3.8918
Nd Ga Rh
1 6 4
Direct
0.0000 0.0000 0.0000
0.1947 0.3894 0.5000
0.1947 0.8053 0.5000
0.5329 0.0658 0.0000
0.5329 0.4671 0.0000
0.6106 0.8053 0.5000
0.9342 0.4671 0.0000
0.3333 0.6667 0.0000
0.4069 0.2035 0.5000
0.7965 0.2035 0.5000
0.7965 0.5931 0.5000
```

Entry 3:
Below is a relaxed structure of CeMg2GaHg4, with properties calculated at the PBE-GGA level.

Density of states at the Fermi level   8.506 states/eV/f.u.
Formation energy from the elements   -1.8 eV per formula unit
VASP energy   -15.14 eV for the cell shown
SG   No. 166

POSCAR file:
```
CeMg2GaHg4
1.0
2.4616 1.4212 8.9572
-2.4616 1.4212 8.9572
0.0000 -2.8424 8.9572
Ce Mg Ga Hg
1 2 1 4
Direct
0.0000 0.0000 0.0000
0.2446 0.2446 0.2446
0.7554 0.7554 0.7554
0.5000 0.5000 0.5000
0.1251 0.1251 0.1251
0.3865 0.3865 0.3865
0.6135 0.6135 0.6135
0.8749 0.8749 0.8749
```

Entry 4:
Below is a relaxed structure of Ba2YMnBr, with properties calculated at the PBE-GGA level.

Density of states at the Fermi level   9.747 states/eV/f.u.
E_form (uncorrected)   0.505 eV/atom
VASP energy   -18.63 eV for the cell shown
SG   No. 123

POSCAR file:
```
Ba2YMnBr
1.0
6.9566 0.0000 0.0000
0.0000 6.9566 0.0000
0.0000 0.0000 5.3908
Ba Y Mn Br
2 1 1 1
Direct
0.0000 0.5000 0.0000
0.5000 0.0000 0.0000
0.0000 0.0000 0.0000
0.5000 0.5000 0.5000
0.0000 0.0000 0.5000
```

Question: Look up the VASP energy of the fourth one.
Answer: -18.63 eV for the cell shown